Te4Au3: relaxed, PBE-GGA.

Calculated values
For the density of states at the Fermi level, the calculation gives 5.0 states/eV/cell. The uncorrected energy comes out at -3.04 eV per atom.

Cell lengths 11.8069, 11.8069, 11.8069 Å; angles 160.29, 160.29, 28.02 degrees
Element x y z (fractional)
Te 0.0652 0.0652 0.0000
Te 0.3086 0.3086 0.0000
Te 0.6914 0.6914 0.0000
Te 0.9348 0.9348 0.0000
Au 0.1863 0.1863 0.0000
Au 0.5000 0.5000 0.0000
Au 0.8137 0.8137 0.0000